[1]
A geometry-optimized CuRh2W2 structure. Source: Alexandria, functional PBE.

Geometry as extended XYZ:
```
10
Lattice="-4.165 3.298 -5.364 0.513 -6.232 -4.230 -2.301 -0.989 1.178" Properties=species:S:1:pos:R:3 pbc="T T T"
Rh -1.103 -4.209 -5.686
Rh -3.310 -1.037 -7.334
Rh -2.549 1.274 -3.908
Rh -0.341 -1.898 -2.260
Cu 0.000 0.000 0.000
Cu -1.826 -1.467 -4.797
W -1.506 -4.103 -3.134
W -3.504 -3.480 -6.513
W -4.446 0.179 -5.281
W -2.449 -0.444 -1.903
```

## Properties
**Energy of formation from the pure elements**: 203 meV/atom
**Mass density**: 13.410 Mg/m³
**Uncorrected energy**: -8.739 eV/atom
**Density of states at the Fermi level**: 5.95 states/eV/cell

***

[2]
A geometry-optimized Pr3Sm4Er4 structure. Source: Alexandria, functional PBE.

Geometry as extended XYZ:
```
11
Lattice="5.750 0.000 0.000 -2.875 6.043 0.000 0.000 0.000 10.754" Properties=species:S:1:pos:R:3 pbc="T T T"
Pr 0.000 4.954 3.123
Pr 0.000 4.954 7.630
Pr 0.000 3.067 0.000
Sm 2.875 3.033 8.453
Sm 2.875 3.033 2.300
Sm 2.875 4.662 5.377
Sm 2.875 5.543 0.000
Er 2.875 1.369 5.377
Er 2.875 0.686 0.000
Er 0.000 1.261 7.510
Er 0.000 1.261 3.244
```

## Properties
**Energy of formation from the pure elements**: 154 meV/atom
**Mass density**: 7.525 Mg/m³
**Uncorrected energy**: -4.525 eV/atom
**Density of states at the Fermi level**: 17.03 states/eV/cell

***

[3]
A geometry-optimized CaZr2Ni structure. Source: Alexandria, functional PBE.

Geometry as extended XYZ:
```
4
Lattice="4.961 0.000 0.000 2.480 4.296 0.000 2.480 1.432 4.051" Properties=species:S:1:pos:R:3 pbc="T T T"
Ni 7.441 4.296 3.038
Ca 4.961 2.864 2.025
Zr 0.000 0.000 0.000
Zr 2.480 1.432 1.013
```

## Properties
**Energy of formation from the pure elements**: 401 meV/atom
**Mass density**: 5.409 Mg/m³
**Uncorrected energy**: -5.819 eV/atom
**Density of states at the Fermi level**: 3.90 states/eV/cell

***

[4]
A geometry-optimized K2CdO structure. Source: Alexandria, functional PBE.

Geometry as extended XYZ:
```
4
Lattice="3.344 0.000 0.000 0.000 3.344 0.000 0.000 0.000 9.330" Properties=species:S:1:pos:R:3 pbc="T T T"
K 0.000 0.000 7.898
K 0.000 0.000 1.432
O 1.672 1.672 0.000
Cd 1.672 1.672 4.665
```

## Properties
**Mass density**: 3.289 Mg/m³
**Formation energy from raw total energies**: -2.28 eV per formula unit
**Uncorrected energy**: -2.586 eV/atom
**Density of states at the Fermi level**: 2.78 states/eV/cell

***

[5]
A geometry-optimized Li3HoCd9 structure. Source: Alexandria, functional PBE.

Geometry as extended XYZ:
```
13
Lattice="-4.794 1.881 1.602 -5.617 -3.257 -3.862 -2.776 -4.155 5.651" Properties=species:S:1:pos:R:3 pbc="T T T"
Li -5.205 -0.688 -1.130
Li -1.388 -2.078 2.825
Li -3.785 -1.137 3.626
Ho 0.000 0.000 0.000
Cd -10.003 -4.512 2.490
Cd -3.184 -1.020 0.901
Cd -5.796 -2.963 4.446
Cd -7.391 -2.568 -1.055
Cd -5.997 -1.347 1.729
Cd -7.190 -4.185 1.662
Cd -9.476 -1.746 1.037
Cd -3.711 -3.786 2.354
Cd -2.808 -1.629 -1.931
```

## Properties
**Energy of formation from the pure elements**: -202 meV/atom
**Mass density**: 7.421 Mg/m³
**Uncorrected energy**: -1.629 eV/atom
**Density of states at the Fermi level**: 4.25 states/eV/cell

***

[6]
A geometry-optimized Ta2NbHAu structure. Source: Alexandria, functional PBE.

Geometry as extended XYZ:
```
5
Lattice="4.272 0.000 0.000 0.000 4.272 0.000 0.000 0.000 4.023" Properties=species:S:1:pos:R:3 pbc="T T T"
H 0.000 0.000 0.000
Nb 0.000 0.000 2.011
Au 2.136 2.136 2.011
Ta 0.000 2.136 0.000
Ta 2.136 0.000 0.000
```

## Properties
**Mass density**: 14.763 Mg/m³
**Uncorrected energy**: -8.152 eV/atom
**Density of states at the Fermi level**: 4.78 states/eV/cell

***

[7]
A geometry-optimized Tb4IrSe3 structure. Source: Alexandria, functional PBE.

Geometry as extended XYZ:
```
8
Lattice="-2.680 -0.685 2.953 1.707 -7.007 -0.077 4.311 3.374 4.696" Properties=species:S:1:pos:R:3 pbc="T T T"
Ir -1.340 -0.343 1.476
Tb 1.368 -0.826 1.050
Tb 0.988 -4.871 2.539
Tb 4.650 -2.807 3.569
Tb 2.349 0.553 5.033
Se 2.155 1.687 2.348
Se 1.669 -2.159 3.786
Se 0.853 -3.503 -0.038
```

## Properties
**Mass density**: 8.867 Mg/m³
**Formation energy from raw total energies**: -12.29 eV per formula unit
**Uncorrected energy**: -6.266 eV/atom
**Density of states at the Fermi level**: 6.22 states/eV/cell

***

[8]
A geometry-optimized AlHgMo2 structure. Source: Alexandria, functional PBE.

Geometry as extended XYZ:
```
4
Lattice="-2.058 1.703 -0.721 -1.222 -0.444 2.442 4.380 6.742 3.420" Properties=species:S:1:pos:R:3 pbc="T T T"
Mo 0.084 0.129 0.065
Mo 2.106 3.242 1.644
Hg 1.645 5.686 3.426
Al -0.545 2.315 1.716
```

## Properties
**Energy of formation from the pure elements**: 269 meV/atom
**Mass density**: 10.415 Mg/m³
**Uncorrected energy**: -6.158 eV/atom
**Density of states at the Fermi level**: 2.00 states/eV/cell

***

[9]
A geometry-optimized TaAgMo2 structure. Source: Alexandria, functional PBE.

Geometry as extended XYZ:
```
4
Lattice="2.698 0.000 0.000 0.000 2.698 0.000 0.000 0.000 9.287" Properties=species:S:1:pos:R:3 pbc="T T T"
Ag 1.349 1.349 6.989
Mo 0.000 0.000 0.013
Mo 1.349 1.349 2.302
Ta 0.000 0.000 4.627
```

## Properties
**Energy of formation from the pure elements**: 332 meV/atom
**Mass density**: 11.808 Mg/m³
**Uncorrected energy**: -8.759 eV/atom
**Density of states at the Fermi level**: 2.95 states/eV/cell

***

[10]
A geometry-optimized TbErBeRu structure. Source: Alexandria, functional PBE.

Geometry as extended XYZ:
```
4
Lattice="4.817 0.000 0.000 2.408 4.172 0.000 2.408 1.391 3.933" Properties=species:S:1:pos:R:3 pbc="T T T"
Ru 7.225 4.172 2.950
Tb 4.817 2.781 1.967
Be 2.408 1.391 0.983
Er 0.000 0.000 0.000
```

## Properties
**Energy of formation from the pure elements**: -152 meV/atom
**Mass density**: 9.166 Mg/m³
**Uncorrected energy**: -5.701 eV/atom
**Density of states at the Fermi level**: 3.48 states/eV/cell

***

[11]
A geometry-optimized BaInRu2 structure. Source: Alexandria, functional PBE.

Geometry as extended XYZ:
```
4
Lattice="4.543 0.000 0.000 0.000 3.107 -0.030 0.000 0.647 6.519" Properties=species:S:1:pos:R:3 pbc="T T T"
Ba 2.272 0.939 1.622
In 2.272 2.816 4.867
Ru 0.000 0.635 5.975
Ru 0.000 1.890 3.789
```

## Properties
**Energy of formation from the pure elements**: 591 meV/atom
**Mass density**: 8.188 Mg/m³
**Uncorrected energy**: -5.212 eV/atom
**Density of states at the Fermi level**: 5.27 states/eV/cell